#w
## Cd3Ag5Au2 (GGA-PBE)

Data for a geometry-optimized Cd3Ag5Au2 structure.

Output
Fermi-level density of states in states/eV per atom: 0.32

a = 10.960 Å, b = 13.961 Å, c = 5.487 Å
α = 90.00°, β = 90.00°, γ = 90.00°
Space group Ibam (No. 72)
One atom of each set of equivalent atoms:
Cd (0.000, 0.000, 0.250) x4
Cd (0.125, 0.243, 0.000) x8
Ag (0.000, 0.500, 0.250) x4
Ag (0.120, 0.347, 0.500) x8
Ag (0.247, 0.500, 0.250) x8
Au (0.132, 0.153, 0.500) x8

=====

#x
## Cd3Ag5Au2 (GGA-PBE)

Data for a geometry-optimized Cd3Ag5Au2 structure.

Output
Fermi-level density of states in states/eV per atom: 0.26

a = 6.705 Å, b = 7.856 Å, c = 7.874 Å
α = 86.50°, β = 89.61°, γ = 64.79°
Space group P-1 (No. 2)
One atom of each set of equivalent atoms:
Cd (0.131, 0.242, 0.371) x2
Cd (0.174, 0.349, 0.729) x2
Cd (0.367, 0.752, 0.122) x2
Ag (0.028, 0.048, 0.674) x2
Ag (0.074, 0.150, 0.026) x2
Ag (0.227, 0.449, 0.074) x2
Ag (0.326, 0.650, 0.773) x2
Ag (0.426, 0.846, 0.477) x2
Au (0.271, 0.552, 0.425) x2
Au (0.471, 0.952, 0.824) x2

=====

Among the structures shown above, #x is the most stable, with the second-best lying 146 meV per atom higher.